Entry 1:
{
  "formula": "NbFeMo3",
  "functional": "PBE",
  "state": "relaxed",
  "lattice": [[-1.600, 2.781, 3.415], [-0.864, -3.761, 2.658], [4.319, 0.278, 1.797]],
  "species": ["Mo", "Mo", "Mo", "Nb", "Fe"],
  "fractional_positions": [[0.000, 0.500, 0.000], [0.000, 0.000, 0.500], [0.500, 0.000, 0.000], [0.000, 0.000, 0.000], [0.500, 0.500, 0.500]],
  "crystal_system": "cubic",
  "polymorph_energy_ev_per_atom": 1.2887,
  "space_group": "Pm-3m (221)",
  "energy_ev_per_atom": -7.92
}

Entry 2:
{
  "formula": "Nb3FeMo",
  "functional": "PBE",
  "state": "relaxed",
  "lattice": [[4.548, 0.000, 0.000], [0.000, 4.548, 0.000], [0.000, 0.000, 4.548]],
  "species": ["Mo", "Nb", "Nb", "Nb", "Fe"],
  "fractional_positions": [[0.500, 0.500, 0.500], [0.000, 0.500, 0.000], [0.000, 0.000, 0.500], [0.500, 0.000, 0.000], [0.000, 0.000, 0.000]],
  "crystal_system": "cubic",
  "polymorph_energy_ev_per_atom": 0.0000,
  "space_group": "Pm-3m (221)",
  "energy_ev_per_atom": -9.01
}

Entry 3:
{
  "formula": "Nb3FeMo",
  "functional": "PBE",
  "state": "relaxed",
  "lattice": [[-4.168, -0.855, -2.145], [-1.671, -1.936, 4.020], [-1.593, 4.269, 1.394]],
  "species": ["Mo", "Nb", "Nb", "Nb", "Fe"],
  "fractional_positions": [[0.000, 0.000, 0.000], [0.000, 0.500, 0.000], [0.000, 0.000, 0.500], [0.500, 0.000, 0.000], [0.500, 0.500, 0.500]],
  "crystal_system": "cubic",
  "polymorph_energy_ev_per_atom": 0.8474,
  "space_group": "Pm-3m (221)",
  "energy_ev_per_atom": -8.16
}

Entry 4:
{
  "formula": "NbFe2Mo",
  "functional": "PBE",
  "state": "relaxed",
  "lattice": [[-2.558, -4.773, 4.039], [-0.267, -4.276, -5.222], [1.008, -5.352, -0.037]],
  "species": ["Mo", "Mo", "Nb", "Nb", "Fe", "Fe", "Fe", "Fe"],
  "fractional_positions": [[0.000, 0.000, 0.000], [0.750, 0.250, 0.500], [0.500, 0.500, 0.000], [0.250, 0.750, 0.500], [0.635, 0.125, 0.250], [0.115, 0.625, 0.250], [0.375, 0.365, 0.750], [0.875, 0.885, 0.750]],
  "crystal_system": "tetragonal",
  "space_group": "I-42d (122)",
  "energy_ev_per_atom": -8.90
}

Entry 5:
{
  "formula": "Nb2FeMo",
  "functional": "PBE",
  "state": "relaxed",
  "lattice": [[-2.687, -1.278, 1.153], [-0.765, -1.945, -3.940], [2.281, -3.594, 1.332]],
  "species": ["Mo", "Nb", "Nb", "Fe"],
  "fractional_positions": [[0.500, 0.000, 0.000], [0.000, 0.000, 0.500], [0.000, 0.500, 0.000], [0.500, 0.500, 0.500]],
  "crystal_system": "tetragonal",
  "space_group": "P4/mmm (123)",
  "energy_ev_per_atom": -9.92
}

Entry 6:
{
  "formula": "Nb2FeMo",
  "functional": "PBE",
  "state": "relaxed",
  "lattice": [[-1.645, 5.405, 4.199], [-6.767, -1.931, -0.165], [-3.813, 0.176, 4.181]],
  "species": ["Mo", "Mo", "Nb", "Nb", "Nb", "Nb", "Fe", "Fe"],
  "fractional_positions": [[0.000, 0.000, 0.000], [0.750, 0.250, 0.500], [0.602, 0.125, 0.250], [0.148, 0.625, 0.250], [0.375, 0.398, 0.750], [0.875, 0.852, 0.750], [0.500, 0.500, 0.000], [0.250, 0.750, 0.500]],
  "crystal_system": "tetragonal",
  "space_group": "I-42d (122)",
  "energy_ev_per_atom": -9.30
}

Entry 7:
{
  "formula": "NbFeMo",
  "functional": "PBE",
  "state": "relaxed",
  "lattice": [[-1.885, 2.004, -1.566], [-2.024, -0.001, 2.435], [4.182, 2.542, 1.419]],
  "species": ["Mo", "Nb", "Fe"],
  "fractional_positions": [[0.276, 0.276, 0.552], [0.954, 0.954, 0.907], [0.620, 0.620, 0.241]],
  "crystal_system": "tetragonal",
  "space_group": "I4mm (107)",
  "energy_ev_per_atom": -9.69
}

Entry 8:
{
  "formula": "NbFeMo3",
  "functional": "PBE",
  "state": "relaxed",
  "lattice": [[4.449, 0.000, 0.000], [0.000, 4.449, 0.000], [0.000, 0.000, 4.449]],
  "species": ["Mo", "Mo", "Mo", "Nb", "Fe"],
  "fractional_positions": [[0.000, 0.500, 0.000], [0.000, 0.000, 0.500], [0.500, 0.000, 0.000], [0.500, 0.500, 0.500], [0.000, 0.000, 0.000]],
  "crystal_system": "cubic",
  "polymorph_energy_ev_per_atom": 0.0000,
  "space_group": "Pm-3m (221)",
  "energy_ev_per_atom": -9.21
}

Entry 9:
{
  "formula": "Nb4FeMo",
  "functional": "PBE",
  "state": "relaxed",
  "lattice": [[-2.461, -3.317, -1.186], [3.503, -2.144, -1.274], [0.573, -2.456, 5.644]],
  "species": ["Nb", "Nb", "Nb", "Nb", "Fe", "Mo"],
  "fractional_positions": [[0.501, 0.997, 0.259], [0.502, 0.998, 0.737], [0.002, 0.498, 0.737], [0.001, 0.497, 0.259], [0.001, 0.997, 0.498], [0.501, 0.497, 0.998]],
  "crystal_system": "monoclinic",
  "space_group": "C2/m (12)",
  "energy_ev_per_atom": -9.45
}

Entry 10:
{
  "formula": "Nb6FeMo",
  "functional": "PBE",
  "state": "relaxed",
  "lattice": [[4.364, 0.000, 1.314], [-0.396, 4.346, 1.315], [0.182, 0.199, 7.299]],
  "species": ["Nb", "Nb", "Nb", "Nb", "Nb", "Nb", "Fe", "Mo"],
  "fractional_positions": [[0.751, 0.751, 0.498], [0.620, 0.120, 0.761], [0.120, 0.620, 0.761], [0.380, 0.880, 0.239], [0.249, 0.249, 0.502], [0.880, 0.380, 0.239], [0.500, 0.500, 0.000], [0.000, 0.000, 0.000]],
  "crystal_system": "tetragonal",
  "space_group": "I4/mmm (139)",
  "energy_ev_per_atom": -10.01
}

Entry 11:
{
  "formula": "Nb2Fe2Mo",
  "functional": "PBE",
  "state": "relaxed",
  "lattice": [[-3.355, 3.324, -4.956], [-5.136, 1.286, 4.339], [1.402, 2.697, 0.860]],
  "species": ["Mo", "Mo", "Nb", "Nb", "Nb", "Nb", "Fe", "Fe", "Fe", "Fe"],
  "fractional_positions": [[0.000, 0.000, 0.000], [0.500, 0.500, 0.000], [0.176, 0.676, 0.500], [0.676, 0.824, 0.500], [0.824, 0.324, 0.500], [0.324, 0.176, 0.500], [0.375, 0.875, 0.000], [0.875, 0.625, 0.000], [0.625, 0.125, 0.000], [0.125, 0.375, 0.000]],
  "crystal_system": "tetragonal",
  "space_group": "P4/mbm (127)",
  "energy_ev_per_atom": -9.44
}

Entry 12:
{
  "formula": "NbFe2Mo",
  "functional": "PBE",
  "state": "relaxed",
  "lattice": [[2.864, 0.000, 0.000], [0.000, 2.864, 0.000], [0.000, 0.000, 6.754]],
  "species": ["Mo", "Nb", "Fe", "Fe"],
  "fractional_positions": [[0.500, 0.500, 0.500], [0.500, 0.500, 0.000], [0.000, 0.000, 0.721], [0.000, 0.000, 0.279]],
  "crystal_system": "tetragonal",
  "space_group": "P4/mmm (123)",
  "energy_ev_per_atom": -9.33
}

no.,calculated formation energy (eV per atom),magnetic moment (μB/cell)
1,2.28,0.09
2,0.89,0.00
3,1.74,0.00
4,0.55,5.98
5,-0.06,0.96
6,0.56,2.18
7,0.10,1.69
8,0.99,0.00
9,0.48,0.00
10,-0.05,0.00
11,0.14,0.00
12,0.12,0.00